An optimized crystal structure of TbTmAg2Se4. Source: the Open Quantum Materials Database, functional PBE.

Calculated values
Magnetization   0.003 μB per formula unit
VASP energy   -4.806 eV per atom

CIF file:
```
data_TbTmAg2Se4
_chemical_formula_sum 'Tb2 Tm2 Ag4 Se8'
_cell_length_a 9.529
_cell_length_b 9.547
_cell_length_c 4.300
_cell_angle_alpha 90.00
_cell_angle_beta 90.00
_cell_angle_gamma 90.00
_space_group_name_H-M_alt 'C m m 2'
_space_group_IT_number 35
loop_
_space_group_symop_operation_xyz
'x,y,z'
'-x,-y,z'
'-x,y,z'
'x,-y,z'
'x+1/2,y+1/2,z'
'-x+1/2,-y+1/2,z'
'-x+1/2,y+1/2,z'
'x+1/2,-y+1/2,z'
loop_
_atom_site_label
_atom_site_fract_x
_atom_site_fract_y
_atom_site_fract_z
Tb1 0.000 0.000 0.000
Tm1 0.000 0.500 0.592
Ag1 0.250 0.250 0.796
Se1 0.000 0.301 0.080
Se2 0.204 0.000 0.512
```